Record 1
First-principles (PBE) data for an optimized crystal structure of Ac2NdZn2Pd7, as listed in the Alexandria database. Values from VASP.

```
&SYSTEM
  ibrav = 0, nat = 12, ntyp = 4
/
ATOMIC_SPECIES
Ac 227.00 Ac.upf
Nd 144.24 Nd.upf
Zn 65.41 Zn.upf
Pd 106.42 Pd.upf
CELL_PARAMETERS angstrom
3.040 -2.999 0.000
3.040 2.999 0.000
-2.069 0.000 13.853
ATOMIC_POSITIONS angstrom
Ac -0.060 0.000 4.839
Ac 4.070 0.000 9.014
Nd 0.000 0.000 0.000
Zn 0.992 0.000 10.400
Zn 3.018 0.000 3.453
Pd 1.506 1.502 2.087
Pd 1.028 0.000 7.878
Pd 2.504 1.502 11.767
Pd 3.040 0.000 0.000
Pd 1.506 -1.502 2.087
Pd 2.982 0.000 5.975
Pd 2.504 -1.502 11.767
```

Values from the calculation:
ΔH_f (0 K) = -0.695 eV per atom
Symmetry = No. 12
Calculated volume = 21.050 A^3/atom


Record 2
First-principles (PBE) data for an optimized crystal structure of Li3Mg2NpO6, as listed in the Alexandria database. Values from VASP.

```
&SYSTEM
  ibrav = 0, nat = 12, ntyp = 4
/
ATOMIC_SPECIES
Li 6.94 Li.upf
Mg 24.30 Mg.upf
Np 237.00 Np.upf
O 16.00 O.upf
CELL_PARAMETERS angstrom
2.676 -4.736 0.000
2.676 4.736 0.000
-1.609 0.000 4.985
ATOMIC_POSITIONS angstrom
Li 0.000 0.000 0.000
Li 2.676 1.801 0.000
Li 2.676 -1.801 0.000
Mg 1.872 3.144 2.493
Mg 1.872 -3.144 2.493
Np 1.872 0.000 2.493
O 0.960 1.591 1.324
O 0.097 0.000 3.617
O 0.960 -1.591 1.324
O 2.784 1.591 3.662
O 3.647 0.000 1.368
O 2.784 -1.591 3.662
```

Values from the calculation:
Formation energy without anion corrections = -57.429 kcal/mol of atoms
Symmetry = No. 12
Calculated volume = 10.529 A^3/atom


Record 3
First-principles (PBE) data for an optimized crystal structure of TaHPd3, as listed in the Alexandria database. Values from VASP.

```
&SYSTEM
  ibrav = 0, nat = 5, ntyp = 3
/
ATOMIC_SPECIES
Ta 180.95 Ta.upf
H 1.01 H.upf
Pd 106.42 Pd.upf
CELL_PARAMETERS angstrom
4.881 0.000 0.000
0.000 4.881 0.000
0.000 0.000 4.881
ATOMIC_POSITIONS angstrom
Ta 0.000 0.000 0.000
H 2.441 2.441 2.441
Pd 0.000 0.000 2.441
Pd 0.000 2.441 0.000
Pd 2.441 0.000 0.000
```

Values from the calculation:
Energy above the most stable polymorph in this dataset = 7.34 eV/f.u.
Symmetry = No. 221
Calculated volume = 23.262 A^3/atom


Record 4
First-principles (PBE) data for an optimized crystal structure of TaI2BrN, as listed in the Alexandria database. Values from VASP.

```
&SYSTEM
  ibrav = 0, nat = 5, ntyp = 4
/
ATOMIC_SPECIES
Ta 180.95 Ta.upf
I 126.90 I.upf
Br 79.90 Br.upf
N 14.01 N.upf
CELL_PARAMETERS angstrom
5.730 0.000 0.000
0.000 5.730 0.000
0.000 0.000 3.937
ATOMIC_POSITIONS angstrom
Ta 0.000 0.000 0.000
I 0.000 2.865 0.000
I 2.865 0.000 0.000
Br 2.865 2.865 1.969
N 0.000 0.000 1.969
```

Values from the calculation:
Formation energy without anion corrections = 2.937 kcal/mol of atoms
Energy above the most stable polymorph in this dataset = 0.00 eV/f.u.
Symmetry = No. 123
Calculated volume = 25.850 A^3/atom


Record 5
First-principles (PBE) data for an optimized crystal structure of Li2MgSi2, as listed in the Alexandria database. Values from VASP.

```
&SYSTEM
  ibrav = 0, nat = 5, ntyp = 3
/
ATOMIC_SPECIES
Li 6.94 Li.upf
Mg 24.30 Mg.upf
Si 28.09 Si.upf
CELL_PARAMETERS angstrom
-1.915 1.915 5.851
1.915 -1.915 5.851
1.915 1.915 -5.851
ATOMIC_POSITIONS angstrom
Li 1.915 0.000 2.926
Li 0.000 1.915 2.926
Mg 0.000 0.000 0.000
Si 0.000 0.000 4.713
Si 0.000 0.000 6.989
```

Values from the calculation:
Formation energy without anion corrections = -1.882 kcal/mol of atoms
Energy above the most stable polymorph in this dataset = 0.02 eV/f.u.
Symmetry = No. 139
Calculated volume = 17.168 A^3/atom


Record 6
First-principles (PBE) data for an optimized crystal structure of Ce4Bi, as listed in the Alexandria database. Values from VASP.

```
&SYSTEM
  ibrav = 0, nat = 5, ntyp = 2
/
ATOMIC_SPECIES
Ce 140.12 Ce.upf
Bi 208.98 Bi.upf
CELL_PARAMETERS angstrom
6.028 0.000 0.000
0.000 6.028 0.000
0.000 0.000 6.028
ATOMIC_POSITIONS angstrom
Ce 0.000 0.000 0.000
Ce 0.000 3.014 3.014
Ce 3.014 0.000 3.014
Ce 3.014 3.014 0.000
Bi 3.014 3.014 3.014
```

Values from the calculation:
Energy above the most stable polymorph in this dataset = 3.10 eV/f.u.
ΔH_f (0 K) = 0.494 eV per atom
Symmetry = No. 221
Calculated volume = 43.798 A^3/atom